Record 1
Density functional theory data (SCAN) for a PBEsol-optimized structure of Ba2LiH2.

## Properties
total magnetic moment = 0.3 μB per cell
Fermi-level density of states = 2.4 states/eV/f.u.
total energy = -18.028 eV/atom
space group = I4/mmm (139)

a b c (Å): 8.273 8.273 8.273
angles (deg): 149.27 149.27 44.02
Positions (direct):
Ba  0.159  0.159  0.000
Ba  0.841  0.841  0.000
Li  0.500  0.500  0.000
H  0.250  0.750  0.500
H  0.750  0.250  0.500



Record 2
Density functional theory data (SCAN) for a PBEsol-optimized structure of La2NiRhO6.

## Properties
total magnetic moment = 1.9 μB per cell
Fermi-level density of states = 5.3 states/eV/f.u.
ΔE_f (raw) = -2.51 eV/atom
total energy = -19.859 eV/atom
space group = P2_1/c (14)

a b c (Å): 5.477 5.576 9.451
angles (deg): 90.00 125.36 90.00
Positions (direct):
La  0.239  0.053  0.250
La  0.239  0.447  0.750
La  0.761  0.553  0.250
La  0.761  0.947  0.750
Ni  0.500  0.000  0.000
Ni  0.500  0.500  0.500
Rh  0.000  0.000  0.500
Rh  0.000  0.500  0.000
O  0.162  0.204  0.956
O  0.162  0.296  0.456
O  0.256  0.708  0.956
O  0.256  0.792  0.456
O  0.339  0.015  0.755
O  0.339  0.485  0.255
O  0.661  0.515  0.745
O  0.661  0.985  0.245
O  0.744  0.208  0.544
O  0.744  0.292  0.044
O  0.838  0.704  0.544
O  0.838  0.796  0.044



Record 3
Density functional theory data (SCAN) for a PBEsol-optimized structure of CdCuPt2.

## Properties
total magnetic moment = 0.0 μB per cell
Fermi-level density of states = 1.8 states/eV/f.u.
total energy = -46.655 eV/atom
space group = Pmm2 (25)

a b c (Å): 2.777 3.866 5.627
angles (deg): 90.00 90.00 90.00
Positions (direct):
Cd  0.000  0.000  0.000
Cu  0.500  0.500  0.268
Pt  0.000  0.000  0.482
Pt  0.500  0.500  0.741



Record 4
Density functional theory data (SCAN) for a PBEsol-optimized structure of Te2MoSN.

## Properties
total magnetic moment = 0.0 μB per cell
Fermi-level density of states = 2.5 states/eV/f.u.
ΔE_f (raw) = 0.43 eV/atom
total energy = -25.232 eV/atom
space group = P4/mmm (123)

a b c (Å): 5.265 5.265 3.755
angles (deg): 90.00 90.00 90.00
Positions (direct):
Te  0.000  0.500  0.000
Te  0.500  0.000  0.000
Mo  0.000  0.000  0.000
S  0.500  0.500  0.500
N  0.000  0.000  0.500



Record 5
Density functional theory data (SCAN) for a PBEsol-optimized structure of CsPd3Se.

## Properties
total magnetic moment = 0.0 μB per cell
Fermi-level density of states = 5.6 states/eV/f.u.
ΔE_f (raw) = 1.45 eV/atom
total energy = -29.790 eV/atom
space group = Pm-3m (221)

a b c (Å): 5.083 5.083 5.083
angles (deg): 90.00 90.00 90.00
Positions (direct):
Cs  0.000  0.000  0.000
Pd  0.000  0.000  0.500
Pd  0.000  0.500  0.000
Pd  0.500  0.000  0.000
Se  0.500  0.500  0.500



Record 6
Density functional theory data (SCAN) for a PBEsol-optimized structure of ScCd2Hg.

## Properties
total magnetic moment = 0.0 μB per cell
Fermi-level density of states = 2.6 states/eV/f.u.
total energy = -36.131 eV/atom
space group = P4/mmm (123)

a b c (Å): 4.254 4.254 4.554
angles (deg): 90.00 90.00 90.00
Positions (direct):
Sc  0.000  0.000  0.000
Cd  0.000  0.500  0.500
Cd  0.500  0.000  0.500
Hg  0.500  0.500  0.000